[1]
Below is a relaxed structure of LiHfP2O8, with properties calculated at the GGA-PBE level. Values from VASP.

Calculated values
- raw formation energy (eV/f.u.) = -28.90
- total DFT energy (no corrections) (eV per formula unit) = -91.255

Cell and atoms, written as Quantum ESPRESSO input:
```
&SYSTEM
  ibrav = 0, nat = 12, ntyp = 4
/
ATOMIC_SPECIES
Li 6.94 Li.upf
Hf 178.49 Hf.upf
P 30.97 P.upf
O 16.00 O.upf
CELL_PARAMETERS angstrom
-3.3052 3.3052 2.9217
3.3052 -3.3052 2.9217
3.3052 3.3052 -2.9217
ATOMIC_POSITIONS angstrom
Li 0.0000 0.0000 0.0000
Hf 3.3052 0.0000 1.4609
P 0.0000 0.0000 2.9217
P 0.0000 3.3052 1.4609
O 2.0611 3.3052 -0.9158
O 1.2441 0.0000 2.0059
O 0.0000 2.1131 0.4677
O 3.3052 2.0611 0.9158
O 0.0000 4.4972 0.4677
O 0.0000 1.2441 3.8375
O -1.1921 3.3052 2.4540
O 1.1921 3.3052 2.4540
```

***

[2]
Below is a relaxed structure of Dy3MgZn4, with properties calculated at the GGA-PBE level. Values from VASP.

Calculated values
- total DFT energy (no corrections) (eV per formula unit) = -23.077

Cell and atoms, written as Quantum ESPRESSO input:
```
&SYSTEM
  ibrav = 0, nat = 8, ntyp = 3
/
ATOMIC_SPECIES
Dy 162.50 Dy.upf
Mg 24.30 Mg.upf
Zn 65.41 Zn.upf
CELL_PARAMETERS angstrom
2.4634 1.4223 8.2035
-2.4634 1.4223 8.2035
0.0000 -2.8445 8.2035
ATOMIC_POSITIONS angstrom
Dy 0.0000 0.0000 0.0000
Dy 0.0000 0.0000 6.0309
Dy 0.0000 0.0000 18.5795
Mg 0.0000 0.0000 12.3052
Zn 0.0000 0.0000 3.0806
Zn 0.0000 0.0000 9.2105
Zn 0.0000 0.0000 15.3999
Zn 0.0000 0.0000 21.5298
```

***

[3]
Below is a relaxed structure of BeCr2CuAu, with properties calculated at the GGA-PBE level. Values from VASP.

Calculated values
- total DFT energy (no corrections) (eV per formula unit) = -27.009

Cell and atoms, written as Quantum ESPRESSO input:
```
&SYSTEM
  ibrav = 0, nat = 5, ntyp = 4
/
ATOMIC_SPECIES
Be 9.01 Be.upf
Cr 52.00 Cr.upf
Cu 63.55 Cu.upf
Au 196.97 Au.upf
CELL_PARAMETERS angstrom
4.3430 0.0000 0.0000
0.0000 4.3430 0.0000
0.0000 0.0000 3.9734
ATOMIC_POSITIONS angstrom
Be 0.0000 0.0000 0.0000
Cr 0.0000 2.1715 0.0000
Cr 2.1715 0.0000 0.0000
Cu 0.0000 0.0000 1.9867
Au 2.1715 2.1715 1.9867
```

***

Question: Which value of total DFT energy (no corrections) does entry 2 give?
Answer: -23.077 eV per formula unit